[1]
VASP calculation (PBE) on AcLa3As4 after structural relaxation.

Cell lengths 6.2559, 6.2559, 6.2559 Å; angles 90.00, 90.00, 90.00 degrees
Space group Pm-3m (No. 221)
Asymmetric unit:
Ac: 0.0000 0.0000 0.0000 [1 per cell]
La: 0.0000 0.5000 0.5000 [3 per cell]
As: 0.0000 0.0000 0.5000 [3 per cell]
As: 0.5000 0.5000 0.5000 [1 per cell]

Computed properties:
DFT formation energy, meV per atom: -1539

=====

[2]
VASP calculation (PBE) on AcLaAs2 after structural relaxation.

Cell lengths 7.6192, 7.6192, 7.6192 Å; angles 90.00, 90.00, 90.00 degrees
Space group Fm-3m (No. 225)
Asymmetric unit:
Ac: 0.0000 0.0000 0.0000 [4 per cell]
La: 0.0000 0.0000 0.5000 [4 per cell]
As: 0.2500 0.2500 0.2500 [8 per cell]

Computed properties:
DFT formation energy, meV per atom: -1173
Energy above the most stable polymorph in this dataset, meV per atom: 350

=====

[3]
VASP calculation (PBE) on AcLa2As after structural relaxation.

Cell lengths 4.0542, 4.0542, 32.9608 Å; angles 90.00, 90.00, 120.00 degrees
Space group R-3m (No. 166, hexagonal axes)
Asymmetric unit:
Ac: 0.0000 0.0000 0.0000 [3 per cell]
La: 0.0000 0.0000 0.1127 [6 per cell]
As: 0.0000 0.0000 0.5000 [3 per cell]

Computed properties:
DFT formation energy, meV per atom: -538
Energy above the most stable polymorph in this dataset, meV per atom: 157

=====

[4]
VASP calculation (PBE) on Ac2La4As3N2 after structural relaxation.

Cell lengths 4.8117, 4.8117, 25.8930 Å; angles 90.00, 90.00, 90.00 degrees
Space group I4/mmm (No. 139)
Asymmetric unit:
Ac: 0.0000 0.0000 0.1963 [4 per cell]
La: 0.0000 0.5000 0.0785 [8 per cell]
As: 0.0000 0.0000 0.3263 [4 per cell]
As: 0.0000 0.0000 0.5000 [2 per cell]
N: 0.0000 0.0000 0.1023 [4 per cell]

Computed properties:
Energy, eV/atom: -6.599

=====

[5]
VASP calculation (PBE) on Ac2LaAsN2 after structural relaxation.

Cell lengths 7.3580, 6.1105, 7.3970 Å; angles 90.00, 101.88, 90.00 degrees
Space group P2_1/m (No. 11)
Asymmetric unit:
Ac: 0.0828 0.2500 0.4193 [2 per cell]
Ac: 0.3715 0.7500 0.2664 [2 per cell]
La: 0.1323 0.2500 0.9497 [2 per cell]
As: 0.3626 0.7500 0.7104 [2 per cell]
N: 0.1141 0.5049 0.1973 [4 per cell]

Computed properties:
Energy, eV/atom: -6.898

=====

[6]
VASP calculation (PBE) on AcLaAsN after structural relaxation.

Cell lengths 4.2417, 4.2417, 14.2628 Å; angles 90.00, 90.00, 120.00 degrees
Space group P6_3mc (No. 186)
Asymmetric unit:
Ac: 0.0000 0.0000 0.0000 [2 per cell]
La: 0.3333 0.6667 0.2672 [2 per cell]
As: 0.3333 0.6667 0.6216 [2 per cell]
N: 0.0000 0.0000 0.3307 [2 per cell]

Computed properties:
Energy, eV/atom: -6.631

=====

[7]
VASP calculation (PBE) on AcLa2NdAs4 after structural relaxation.

Cell lengths 7.6104, 4.3992, 7.6169 Å; angles 90.00, 109.42, 90.00 degrees
Space group P2/m (No. 10)
Asymmetric unit:
Ac: 0.0000 0.0000 0.0000 [1 per cell]
La: 0.5000 0.0000 0.5000 [1 per cell]
La: 0.5000 0.5000 0.0000 [1 per cell]
Nd: 0.0000 0.5000 0.5000 [1 per cell]
As: 0.2506 0.0000 0.7441 [2 per cell]
As: 0.2552 0.5000 0.2583 [2 per cell]

Computed properties:
DFT formation energy, meV per atom: -1522

=====

[8]
VASP calculation (PBE) on Ac2La3NdAs6 after structural relaxation.

Cell lengths 19.2616, 4.4221, 8.8447 Å; angles 90.00, 103.26, 90.00 degrees
Space group C2/m (No. 12)
Asymmetric unit:
Ac: 0.1653 0.0000 0.3310 [4 per cell]
La: 0.0000 0.5000 0.5000 [2 per cell]
La: 0.1664 0.0000 0.8348 [4 per cell]
Nd: 0.0000 0.5000 0.0000 [2 per cell]
As: 0.0027 0.0000 0.7547 [4 per cell]
As: 0.1643 0.5000 0.5892 [4 per cell]
As: 0.1650 0.5000 0.0754 [4 per cell]

Computed properties:
DFT formation energy, meV per atom: -1521

=====

[9]
VASP calculation (PBE) on AcLa2Nd3As6 after structural relaxation.

Cell lengths 18.9834, 4.3557, 8.7143 Å; angles 90.00, 103.33, 90.00 degrees
Space group C2/m (No. 12)
Asymmetric unit:
Ac: 0.0000 0.0000 0.0000 [2 per cell]
La: 0.1676 0.5000 0.3345 [4 per cell]
Nd: 0.0000 0.0000 0.5000 [2 per cell]
Nd: 0.1667 0.5000 0.8321 [4 per cell]
As: 0.0006 0.5000 0.7405 [4 per cell]
As: 0.1658 0.0000 0.5851 [4 per cell]
As: 0.1701 0.0000 0.0823 [4 per cell]

Computed properties:
DFT formation energy, meV per atom: -1518

=====

[10]
VASP calculation (PBE) on AcLaNd2As4 after structural relaxation.

Cell lengths 7.5641, 4.3698, 7.5730 Å; angles 90.00, 109.41, 90.00 degrees
Space group P2/m (No. 10)
Asymmetric unit:
Ac: 0.0000 0.0000 0.0000 [1 per cell]
La: 0.5000 0.5000 0.0000 [1 per cell]
Nd: 0.0000 0.5000 0.5000 [1 per cell]
Nd: 0.5000 0.0000 0.5000 [1 per cell]
As: 0.2519 0.0000 0.7426 [2 per cell]
As: 0.2580 0.5000 0.2608 [2 per cell]

Computed properties:
DFT formation energy, meV per atom: -1508

=====

[11]
VASP calculation (PBE) on Ac2LaNd3As6 after structural relaxation.

Cell lengths 19.1154, 4.3848, 8.7756 Å; angles 90.00, 103.36, 90.00 degrees
Space group C2/m (No. 12)
Asymmetric unit:
Ac: 0.1659 0.0000 0.3321 [4 per cell]
La: 0.0000 0.5000 0.0000 [2 per cell]
Nd: 0.0000 0.5000 0.5000 [2 per cell]
Nd: 0.1666 0.0000 0.8342 [4 per cell]
As: 0.0034 0.0000 0.7495 [4 per cell]
As: 0.1635 0.5000 0.5913 [4 per cell]
As: 0.1672 0.5000 0.0741 [4 per cell]

Computed properties:
DFT formation energy, meV per atom: -1498

=====

[12]
VASP calculation (PBE) on Ac2LaNdAs4 after structural relaxation.

Cell lengths 7.6840, 4.4397, 7.6910 Å; angles 90.00, 109.42, 90.00 degrees
Space group P2/m (No. 10)
Asymmetric unit:
Ac: 0.0000 0.0000 0.0000 [1 per cell]
Ac: 0.5000 0.5000 0.0000 [1 per cell]
La: 0.0000 0.5000 0.5000 [1 per cell]
Nd: 0.5000 0.0000 0.5000 [1 per cell]
As: 0.2481 0.0000 0.7387 [2 per cell]
As: 0.2560 0.5000 0.2624 [2 per cell]

Computed properties:
DFT formation energy, meV per atom: -1501